(1)
Rb3HS | PBEsol | relaxed

- DOS at the Fermi energy (states/eV/cell) = 0.000
- crystal system = cubic
- DFT total energy (eV per atom) = -2.73
- calculated volume (A^3/atom) = 28.9

Cell and atoms, written as CIF:
```
data_Rb3HS
_chemical_formula_sum 'Rb3 H1 S1'
_cell_length_a 5.248
_cell_length_b 5.248
_cell_length_c 5.248
_cell_angle_alpha 90.00
_cell_angle_beta 90.00
_cell_angle_gamma 90.00
_space_group_name_H-M_alt 'P m -3 m'
_space_group_IT_number 221
_space_group_name_Hall '-P 4 2 3'
loop_
_atom_site_label
_atom_site_type_symbol
_atom_site_fract_x
_atom_site_fract_y
_atom_site_fract_z
Rb1 Rb 0.000 0.000 0.500
H1 H 0.000 0.000 0.000
S1 S 0.500 0.500 0.500
```

(2)
RbHS | PBEsol | relaxed

- DOS at the Fermi energy (states/eV/cell) = 0.000
- crystal system = monoclinic
- DFT total energy (eV per atom) = -3.67
- calculated volume (A^3/atom) = 25.3

Cell and atoms, written as CIF:
```
data_RbHS
_chemical_formula_sum 'Rb2 H2 S2'
_cell_length_a 4.565
_cell_length_b 5.003
_cell_length_c 6.799
_cell_angle_alpha 90.00
_cell_angle_beta 102.33
_cell_angle_gamma 90.00
_space_group_name_H-M_alt 'P 1 21/m 1'
_space_group_IT_number 11
_space_group_name_Hall '-P 2yb'
loop_
_atom_site_label
_atom_site_type_symbol
_atom_site_fract_x
_atom_site_fract_y
_atom_site_fract_z
Rb1 Rb 0.228 0.250 0.263
H1 H 0.476 0.750 0.091
S1 S 0.270 0.250 0.763
```

(3)
RbSbH | PBEsol | relaxed

- DOS at the Fermi energy (states/eV/cell) = 1.023
- crystal system = monoclinic
- DFT total energy (eV per atom) = -3.20
- calculated volume (A^3/atom) = 27.9

Cell and atoms, written as CIF:
```
data_RbSbH
_chemical_formula_sum 'Rb2 Sb2 H2'
_cell_length_a 5.721
_cell_length_b 4.576
_cell_length_c 6.920
_cell_angle_alpha 90.00
_cell_angle_beta 112.56
_cell_angle_gamma 90.00
_space_group_name_H-M_alt 'P 1 m 1'
_space_group_IT_number 6
_space_group_name_Hall 'P -2y'
loop_
_atom_site_label
_atom_site_type_symbol
_atom_site_fract_x
_atom_site_fract_y
_atom_site_fract_z
Rb1 Rb 0.000 0.000 0.000
Rb2 Rb 0.248 0.500 0.530
Sb1 Sb 0.554 0.500 0.122
Sb2 Sb 0.688 0.000 0.398
H1 H 0.763 0.500 0.814
H2 H 0.799 0.500 0.714
```

(4)
Rb3SbH | PBEsol | relaxed

- DOS at the Fermi energy (states/eV/cell) = 3.382
- crystal system = cubic
- DFT total energy (eV per atom) = -2.39
- calculated volume (A^3/atom) = 35.3

Cell and atoms, written as CIF:
```
data_Rb3SbH
_chemical_formula_sum 'Rb3 Sb1 H1'
_cell_length_a 5.609
_cell_length_b 5.609
_cell_length_c 5.609
_cell_angle_alpha 90.00
_cell_angle_beta 90.00
_cell_angle_gamma 90.00
_space_group_name_H-M_alt 'P m -3 m'
_space_group_IT_number 221
_space_group_name_Hall '-P 4 2 3'
loop_
_atom_site_label
_atom_site_type_symbol
_atom_site_fract_x
_atom_site_fract_y
_atom_site_fract_z
Rb1 Rb 0.000 0.000 0.500
Sb1 Sb 0.500 0.500 0.500
H1 H 0.000 0.000 0.000
```

(5)
RbSrH2Se | PBEsol | relaxed

- DOS at the Fermi energy (states/eV/cell) = 4.602
- crystal system = tetragonal
- DFT total energy (eV per atom) = -3.04
- calculated volume (A^3/atom) = 27.4

Cell and atoms, written as CIF:
```
data_RbSrH2Se
_chemical_formula_sum 'Rb1 Sr1 H2 Se1'
_cell_length_a 4.789
_cell_length_b 4.789
_cell_length_c 5.981
_cell_angle_alpha 90.00
_cell_angle_beta 90.00
_cell_angle_gamma 90.00
_space_group_name_H-M_alt 'P 4/m m m'
_space_group_IT_number 123
_space_group_name_Hall '-P 4 2'
loop_
_atom_site_label
_atom_site_type_symbol
_atom_site_fract_x
_atom_site_fract_y
_atom_site_fract_z
Rb1 Rb 0.000 0.000 0.000
Sr1 Sr 0.500 0.500 0.500
H1 H 0.000 0.500 0.500
Se1 Se 0.500 0.500 0.000
```

(6)
RbSrTiH2 | PBEsol | relaxed

- DOS at the Fermi energy (states/eV/cell) = 5.183
- crystal system = tetragonal
- DFT total energy (eV per atom) = -2.59
- calculated volume (A^3/atom) = 34.7

Cell and atoms, written as CIF:
```
data_RbSrTiH2
_chemical_formula_sum 'Rb1 Sr1 Ti1 H2'
_cell_length_a 4.709
_cell_length_b 4.709
_cell_length_c 7.831
_cell_angle_alpha 90.00
_cell_angle_beta 90.00
_cell_angle_gamma 90.00
_space_group_name_H-M_alt 'P 4/m m m'
_space_group_IT_number 123
_space_group_name_Hall '-P 4 2'
loop_
_atom_site_label
_atom_site_type_symbol
_atom_site_fract_x
_atom_site_fract_y
_atom_site_fract_z
Rb1 Rb 0.000 0.000 0.000
Sr1 Sr 0.000 0.000 0.500
Ti1 Ti 0.500 0.500 0.000
H1 H 0.000 0.500 0.500
```

(7)
RbTa3H | PBEsol | relaxed

- DOS at the Fermi energy (states/eV/cell) = 10.353
- crystal system = cubic
- DFT total energy (eV per atom) = -4.50
- calculated volume (A^3/atom) = 21.5

Cell and atoms, written as CIF:
```
data_RbTa3H
_chemical_formula_sum 'Rb1 Ta3 H1'
_cell_length_a 4.754
_cell_length_b 4.754
_cell_length_c 4.754
_cell_angle_alpha 90.00
_cell_angle_beta 90.00
_cell_angle_gamma 90.00
_space_group_name_H-M_alt 'P m -3 m'
_space_group_IT_number 221
_space_group_name_Hall '-P 4 2 3'
loop_
_atom_site_label
_atom_site_type_symbol
_atom_site_fract_x
_atom_site_fract_y
_atom_site_fract_z
Rb1 Rb 0.000 0.000 0.000
Ta1 Ta 0.000 0.000 0.500
H1 H 0.500 0.500 0.500
```

(8)
RbTaH2 | PBEsol | relaxed

- DOS at the Fermi energy (states/eV/cell) = 8.270
- crystal system = tetragonal
- DFT total energy (eV per atom) = -4.47
- calculated volume (A^3/atom) = 15.1

Cell and atoms, written as CIF:
```
data_RbTaH2
_chemical_formula_sum 'Rb4 Ta4 H8'
_cell_length_a 5.654
_cell_length_b 5.654
_cell_length_c 7.546
_cell_angle_alpha 90.00
_cell_angle_beta 90.00
_cell_angle_gamma 90.00
_space_group_name_H-M_alt 'I -4 2 d'
_space_group_IT_number 122
_space_group_name_Hall 'I -4 2bw'
loop_
_atom_site_label
_atom_site_type_symbol
_atom_site_fract_x
_atom_site_fract_y
_atom_site_fract_z
Rb1 Rb 0.000 0.000 0.000
Ta1 Ta 0.000 0.000 0.500
H1 H 0.141 0.250 0.625
```

(9)
RbYTaH2 | PBEsol | relaxed

- DOS at the Fermi energy (states/eV/cell) = 5.323
- crystal system = tetragonal
- DFT total energy (eV per atom) = -3.61
- calculated volume (A^3/atom) = 23.6

Cell and atoms, written as CIF:
```
data_RbYTaH2
_chemical_formula_sum 'Rb1 Y1 Ta1 H2'
_cell_length_a 4.302
_cell_length_b 4.302
_cell_length_c 6.376
_cell_angle_alpha 90.00
_cell_angle_beta 90.00
_cell_angle_gamma 90.00
_space_group_name_H-M_alt 'P 4/m m m'
_space_group_IT_number 123
_space_group_name_Hall '-P 4 2'
loop_
_atom_site_label
_atom_site_type_symbol
_atom_site_fract_x
_atom_site_fract_y
_atom_site_fract_z
Rb1 Rb 0.000 0.000 0.000
Y1 Y 0.000 0.000 0.500
Ta1 Ta 0.500 0.500 0.500
H1 H 0.000 0.500 0.000
```

(10)
Rb3TeH | PBEsol | relaxed

- DOS at the Fermi energy (states/eV/cell) = 0.000
- crystal system = cubic
- DFT total energy (eV per atom) = -2.64
- calculated volume (A^3/atom) = 33.6

Cell and atoms, written as CIF:
```
data_Rb3TeH
_chemical_formula_sum 'Rb3 Te1 H1'
_cell_length_a 5.519
_cell_length_b 5.519
_cell_length_c 5.519
_cell_angle_alpha 90.00
_cell_angle_beta 90.00
_cell_angle_gamma 90.00
_space_group_name_H-M_alt 'P m -3 m'
_space_group_IT_number 221
_space_group_name_Hall '-P 4 2 3'
loop_
_atom_site_label
_atom_site_type_symbol
_atom_site_fract_x
_atom_site_fract_y
_atom_site_fract_z
Rb1 Rb 0.000 0.000 0.500
Te1 Te 0.500 0.500 0.500
H1 H 0.000 0.000 0.000
```

(11)
RbTiH2 | PBEsol | relaxed

- DOS at the Fermi energy (states/eV/cell) = 15.109
- crystal system = cubic
- DFT total energy (eV per atom) = -3.06
- calculated volume (A^3/atom) = 15.5

Cell and atoms, written as CIF:
```
data_RbTiH2
_chemical_formula_sum 'Rb4 Ti4 H8'
_cell_length_a 6.284
_cell_length_b 6.284
_cell_length_c 6.284
_cell_angle_alpha 90.00
_cell_angle_beta 90.00
_cell_angle_gamma 90.00
_space_group_name_H-M_alt 'F m -3 m'
_space_group_IT_number 225
_space_group_name_Hall '-F 4 2 3'
loop_
_atom_site_label
_atom_site_type_symbol
_atom_site_fract_x
_atom_site_fract_y
_atom_site_fract_z
Rb1 Rb 0.000 0.000 0.000
Ti1 Ti 0.000 0.000 0.500
H1 H 0.250 0.250 0.250
```

(12)
Rb2TlHW | PBEsol | relaxed

- DOS at the Fermi energy (states/eV/cell) = 2.659
- crystal system = tetragonal
- DFT total energy (eV per atom) = -3.04
- calculated volume (A^3/atom) = 27.4

Cell and atoms, written as CIF:
```
data_Rb2TlHW
_chemical_formula_sum 'Rb2 Tl1 H1 W1'
_cell_length_a 5.102
_cell_length_b 5.102
_cell_length_c 5.266
_cell_angle_alpha 90.00
_cell_angle_beta 90.00
_cell_angle_gamma 90.00
_space_group_name_H-M_alt 'P 4/m m m'
_space_group_IT_number 123
_space_group_name_Hall '-P 4 2'
loop_
_atom_site_label
_atom_site_type_symbol
_atom_site_fract_x
_atom_site_fract_y
_atom_site_fract_z
Rb1 Rb 0.000 0.500 0.000
Tl1 Tl 0.000 0.000 0.500
H1 H 0.000 0.000 0.000
W1 W 0.500 0.500 0.500
```

(13)
RbH2W | PBEsol | relaxed

- DOS at the Fermi energy (states/eV/cell) = 11.687
- crystal system = tetragonal
- DFT total energy (eV per atom) = -4.50
- calculated volume (A^3/atom) = 14.1

Cell and atoms, written as CIF:
```
data_RbH2W
_chemical_formula_sum 'Rb4 H8 W4'
_cell_length_a 5.499
_cell_length_b 5.499
_cell_length_c 7.444
_cell_angle_alpha 90.00
_cell_angle_beta 90.00
_cell_angle_gamma 90.00
_space_group_name_H-M_alt 'I -4 2 d'
_space_group_IT_number 122
_space_group_name_Hall 'I -4 2bw'
loop_
_atom_site_label
_atom_site_type_symbol
_atom_site_fract_x
_atom_site_fract_y
_atom_site_fract_z
Rb1 Rb 0.000 0.000 0.000
H1 H 0.139 0.250 0.625
W1 W 0.000 0.000 0.500
```